This record from the Alexandria database describes a geometry-optimized SrLi3Pd3 structure. The functional is GGA-PBE.

Cell lengths 6.628, 6.628, 6.628 Å; angles 90.00, 90.00, 90.00 degrees
Element x y z (fractional)
Sr (0.000, 0.000, 0.000)
Sr (0.500, 0.500, 0.500)
Li (0.000, 0.250, 0.500)
Li (0.000, 0.750, 0.500)
Li (0.250, 0.500, 0.000)
Li (0.500, 0.000, 0.250)
Li (0.500, 0.000, 0.750)
Li (0.750, 0.500, 0.000)
Pd (0.000, 0.500, 0.250)
Pd (0.000, 0.500, 0.750)
Pd (0.250, 0.000, 0.500)
Pd (0.500, 0.250, 0.000)
Pd (0.500, 0.750, 0.000)
Pd (0.750, 0.000, 0.500)

Summary:
SG = Pm-3n (223)
Fermi-level density of states = 1.584 states/eV/f.u.
formation energy from the elements = -80 meV/atom
crystal system = cubic



This record from the Alexandria database describes a geometry-optimized LiLaEuNi structure. The functional is GGA-PBE.

Cell lengths 5.157, 5.157, 5.157 Å; angles 60.00, 60.00, 60.00 degrees
Element x y z (fractional)
Li (0.000, 0.000, 0.000)
La (0.250, 0.250, 0.250)
Eu (0.750, 0.750, 0.750)
Ni (0.500, 0.500, 0.500)

Summary:
SG = F-43m (216)
Fermi-level density of states = 4.655 states/eV/f.u.
formation energy from the elements = -9 meV/atom
crystal system = cubic



This record from the Alexandria database describes a geometry-optimized SrYSc2 structure. The functional is GGA-PBE.

Cell lengths 6.111, 6.111, 3.533 Å; angles 90.00, 90.00, 107.98 degrees
Element x y z (fractional)
Sr (0.000, 0.000, 0.000)
Y (0.500, 0.500, 0.000)
Sc (0.000, 0.500, 0.500)
Sc (0.500, 0.000, 0.500)

Summary:
SG = Cmmm (65)
Fermi-level density of states = 9.073 states/eV/f.u.
formation energy from the elements = 292 meV/atom
crystal system = orthorhombic



This record from the Alexandria database describes a geometry-optimized LaYTl structure. The functional is GGA-PBE.

Cell lengths 8.478, 8.478, 5.094 Å; angles 90.12, 90.12, 30.93 degrees
Element x y z (fractional)
La (0.070, 0.070, 0.248)
La (0.930, 0.930, 0.752)
Y (0.236, 0.236, 0.750)
Y (0.764, 0.764, 0.250)
Tl (0.396, 0.396, 0.251)
Tl (0.604, 0.604, 0.749)

Summary:
SG = C2/m (12)
Fermi-level density of states = 3.719 states/eV/f.u.
formation energy from the elements = -279 meV/atom
crystal system = monoclinic



This record from the Alexandria database describes a geometry-optimized Sc3TcO structure. The functional is GGA-PBE.

Cell lengths 4.232, 4.232, 6.876 Å; angles 90.00, 90.00, 90.00 degrees
Element x y z (fractional)
Sc (0.000, 0.000, 0.000)
Sc (0.000, 0.500, 0.549)
Sc (0.500, 0.000, 0.549)
Tc (0.000, 0.000, 0.313)
O (0.500, 0.500, 0.606)

Summary:
uncorrected formation energy = -0.3957 eV per atom
SG = P4mm (99)
Fermi-level density of states = 1.762 states/eV/f.u.
crystal system = tetragonal



This record from the Alexandria database describes a geometry-optimized CdFeCu4 structure. The functional is GGA-PBE.

Cell lengths 4.879, 4.879, 4.879 Å; angles 60.00, 60.00, 60.00 degrees
Element x y z (fractional)
Cd (0.000, 0.000, 0.000)
Fe (0.250, 0.250, 0.250)
Cu (0.126, 0.625, 0.625)
Cu (0.625, 0.126, 0.625)
Cu (0.625, 0.625, 0.126)
Cu (0.625, 0.625, 0.625)

Summary:
SG = F-43m (216)
Fermi-level density of states = 4.948 states/eV/f.u.
formation energy from the elements = 198 meV/atom
crystal system = cubic



This record from the Alexandria database describes a geometry-optimized ZrZnFe structure. The functional is GGA-PBE.

Cell lengths 2.894, 2.894, 6.891 Å; angles 90.00, 90.00, 120.00 degrees
Element x y z (fractional)
Zr (0.000, 0.000, 0.000)
Zn (0.333, 0.667, 0.639)
Fe (0.667, 0.333, 0.347)

Summary:
SG = P3m1 (156)
Fermi-level density of states = 3.531 states/eV/f.u.
formation energy from the elements = 216 meV/atom
crystal system = trigonal



This record from the Alexandria database describes a geometry-optimized Ta3CuOs structure. The functional is GGA-PBE.

Cell lengths 4.549, 4.549, 4.549 Å; angles 90.00, 90.00, 90.00 degrees
Element x y z (fractional)
Ta (0.000, 0.000, 0.500)
Ta (0.000, 0.500, 0.000)
Ta (0.500, 0.000, 0.000)
Cu (0.000, 0.000, 0.000)
Os (0.500, 0.500, 0.500)

Summary:
SG = Pm-3m (221)
Fermi-level density of states = 5.978 states/eV/f.u.
formation energy from the elements = 1388 meV/atom
crystal system = cubic



Q: Fermi-level density of states of number 6 (CdFeCu4)?
A: 4.948 states/eV/f.u.